Entry from Alexandria via LeMat-Bulk: ZnCuTc2 at its PBEsol-relaxed geometry (meta-GGA SCAN).

Structure (extended XYZ):
```
4
Lattice="2.647 0.000 0.000 0.000 4.557 -0.001 -1.323 -0.774 4.413" Properties=species:S:1:pos:R:3 pbc="T T T"
Tc 0.000 0.743 2.186
Tc 1.323 3.040 2.226
Cu 1.323 0.000 0.000
Zn 0.000 2.278 0.000
```

N(E_F), states/eV/atom: 0.709
Calculated formation energy, meV per atom: 196
Symmetry: C2/m (12)
V, Å³ per cell: 53

***

Entry from Alexandria via LeMat-Bulk: ZnCuTc2 at its PBEsol-relaxed geometry (meta-GGA SCAN).

Structure (extended XYZ):
```
4
Lattice="-0.842 1.481 2.089 -2.510 -0.295 0.937 1.606 -5.652 6.395" Properties=species:S:1:pos:R:3 pbc="T T T"
Cu -0.424 -1.143 2.379
Tc 1.596 -5.631 6.376
Tc -1.293 -3.387 7.099
Zn -0.893 -2.189 4.672
```

N(E_F), states/eV/atom: 0.473
Calculated formation energy, meV per atom: 25
Symmetry: R3m (160)
V, Å³ per cell: 54

***

Entry from Alexandria via LeMat-Bulk: ZnCuTc2 at its PBEsol-relaxed geometry (meta-GGA SCAN).

Structure (extended XYZ):
```
4
Lattice="-2.606 -0.551 1.770 -0.798 -3.169 -2.161 2.302 -2.384 2.646" Properties=species:S:1:pos:R:3 pbc="T T T"
Tc 0.000 0.000 0.000
Tc -1.702 -1.860 -0.195
Cu 0.752 -2.777 0.243
Zn -0.152 -1.467 2.208
```

N(E_F), states/eV/atom: 0.699
Calculated formation energy, meV per atom: 179
Symmetry: Pmmm (47)
V, Å³ per cell: 53

***

Entry from Alexandria via LeMat-Bulk: Zr2CuTc at its PBEsol-relaxed geometry (meta-GGA SCAN).

Structure (extended XYZ):
```
4
Lattice="-1.825 -2.765 2.171 2.152 -2.813 -1.773 2.852 3.183 2.837" Properties=species:S:1:pos:R:3 pbc="T T T"
Cu 0.164 -2.789 0.199
Zr 0.595 -1.185 2.604
Zr 0.000 0.000 0.000
Tc 2.584 -1.210 0.632
```

N(E_F), states/eV/atom: 0.953
Calculated formation energy, meV per atom: -65
Symmetry: I-4m2 (119)
V, Å³ per cell: 67

***

Entry from Alexandria via LeMat-Bulk: ZrCuTc2 at its PBEsol-relaxed geometry (meta-GGA SCAN).

Structure (extended XYZ):
```
4
Lattice="3.210 0.000 0.000 0.000 4.303 0.000 -1.605 -2.152 4.392" Properties=species:S:1:pos:R:3 pbc="T T T"
Cu 0.000 2.152 0.000
Tc 0.000 0.000 2.185
Tc 1.605 2.152 2.207
Zr 1.605 0.000 0.000
```

N(E_F), states/eV/atom: 1.044
Calculated formation energy, meV per atom: 85
Symmetry: Immm (71)
V, Å³ per cell: 61

***

Entry from Alexandria via LeMat-Bulk: Zr2CuTc at its PBEsol-relaxed geometry (meta-GGA SCAN).

Structure (extended XYZ):
```
4
Lattice="-0.446 3.848 2.453 -2.776 0.084 3.649 1.771 0.245 4.223" Properties=species:S:1:pos:R:3 pbc="T T T"
Zr -0.363 1.044 2.581
Zr -1.089 3.133 7.744
Tc -0.726 2.089 5.163
Cu 0.000 0.000 0.000
```

N(E_F), states/eV/atom: 0.704
Calculated formation energy, meV per atom: -359
Symmetry: Fm-3m (225)
V, Å³ per cell: 68

***

Entry from Alexandria via LeMat-Bulk: Zr2CuTc at its PBEsol-relaxed geometry (meta-GGA SCAN).

Structure (extended XYZ):
```
4
Lattice="-1.569 1.990 -2.088 -2.144 -2.395 -0.672 -3.705 2.002 4.690" Properties=species:S:1:pos:R:3 pbc="T T T"
Cu -1.856 -0.202 -1.380
Zr -2.765 1.494 3.500
Zr -0.940 0.508 1.190
Tc -3.709 0.799 0.965
```

N(E_F), states/eV/atom: 0.694
Calculated formation energy, meV per atom: -384
Symmetry: P4/mmm (123)
V, Å³ per cell: 68

***

Entry from Alexandria via LeMat-Bulk: CuTe4 at its PBEsol-relaxed geometry (meta-GGA SCAN).

Structure (extended XYZ):
```
5
Lattice="3.631 0.000 0.000 1.815 6.139 0.000 1.815 0.000 6.139" Properties=species:S:1:pos:R:3 pbc="T T T"
Te 3.631 5.371 2.020
Te 5.446 4.119 5.371
Te 1.815 2.020 0.769
Te 3.631 0.769 4.119
Cu 0.000 0.000 0.000
```

N(E_F), states/eV/atom: 0.718
Symmetry: I4/m (87)
Formation energy without anion corrections, eV per formula unit: 1.1
V, Å³ per cell: 137

***

Entry from Alexandria via LeMat-Bulk: Cu3Te at its PBEsol-relaxed geometry (meta-GGA SCAN).

Structure (extended XYZ):
```
4
Lattice="-1.258 1.924 -3.138 -2.216 -2.766 1.603 -2.203 3.532 3.048" Properties=species:S:1:pos:R:3 pbc="T T T"
Cu -0.517 0.829 0.715
Cu -1.686 2.703 2.333
Cu -1.897 -1.203 0.023
Te -2.998 0.563 1.547
```

N(E_F), states/eV/atom: 0.507
Symmetry: P-6m2 (187)
Formation energy without anion corrections, eV per formula unit: 0.7
V, Å³ per cell: 68

***

Entry from Alexandria via LeMat-Bulk: Cu3Te at its PBEsol-relaxed geometry (meta-GGA SCAN).

Structure (extended XYZ):
```
4
Lattice="-1.909 4.508 -0.224 -2.531 -0.868 4.106 3.737 1.715 2.666" Properties=species:S:1:pos:R:3 pbc="T T T"
Cu 1.869 0.858 1.333
Cu -0.955 2.254 -0.112
Cu -1.265 -0.434 2.053
Te 0.000 0.000 0.000
```

N(E_F), states/eV/atom: 0.886
Symmetry: Pm-3m (221)
Formation energy without anion corrections, eV per formula unit: 4.0
V, Å³ per cell: 118

***

Entry from Alexandria via LeMat-Bulk: Cu2Te3 at its PBEsol-relaxed geometry (meta-GGA SCAN).

Structure (extended XYZ):
```
5
Lattice="3.788 0.000 0.000 -1.894 3.280 0.000 0.000 0.000 8.768" Properties=species:S:1:pos:R:3 pbc="T T T"
Te 1.894 1.093 5.751
Te 0.000 2.187 3.017
Te 0.000 0.000 0.000
Cu 1.894 1.093 1.632
Cu 0.000 2.187 7.136
```

N(E_F), states/eV/atom: 0.426
Symmetry: P-3m1 (164)
Formation energy without anion corrections, eV per formula unit: 0.1
V, Å³ per cell: 109

***

Entry from Alexandria via LeMat-Bulk: Cu3Te at its PBEsol-relaxed geometry (meta-GGA SCAN).

Structure (extended XYZ):
```
4
Lattice="-0.514 0.075 -3.366 3.121 -1.258 -0.505 -1.898 -4.781 0.184" Properties=species:S:1:pos:R:3 pbc="T T T"
Cu 0.796 -1.869 -1.886
Cu -0.949 -2.390 0.092
Cu -0.087 -4.095 -1.801
Te 0.000 0.000 0.000
```

N(E_F), states/eV/atom: 0.385
Symmetry: P4/mmm (123)
Formation energy without anion corrections, eV per formula unit: 0.9
V, Å³ per cell: 60